(1)
A plane-wave DFT calculation with PBE-GGA was carried out for a geometry-optimized AlWCl2 structure.

Cell: 4.523 4.523 4.523 Å, 60.00 60.00 60.00°
Positions (direct):
Cl1 0.750 0.750 0.750
Al1 0.000 0.000 0.000
W1 0.500 0.500 0.500
Cl2 0.250 0.250 0.250

Volume: 16.36 Å³/atom
Total magnetic moment: 0.0 μB per formula unit
Total DFT energy (no corrections): -4.18 eV/atom
Formation energy (no corrections): 21.07 kcal/mol of atoms
Energy above the most stable polymorph in this dataset: 1317 meV/atom

***

(2)
A plane-wave DFT calculation with PBE-GGA was carried out for a geometry-optimized AlWCl2 structure.

Cell: 5.651 5.651 5.651 Å, 139.75 139.75 58.24°
Positions (direct):
Cl1 0.000 0.000 0.000
W1 0.500 0.500 0.000
Al1 0.750 0.250 0.500
Cl2 0.250 0.750 0.500

Volume: 18.67 Å³/atom
Total magnetic moment: 2.8 μB per formula unit
Total DFT energy (no corrections): -4.20 eV/atom
Formation energy (no corrections): 20.80 kcal/mol of atoms
Energy above the most stable polymorph in this dataset: 1305 meV/atom

***

(3)
A plane-wave DFT calculation with PBE-GGA was carried out for a geometry-optimized AlWCl2 structure.

Cell: 2.963 2.963 8.842 Å, 90.00 90.00 90.00°
Positions (direct):
Al1 0.500 0.500 0.726
Cl1 0.000 0.000 0.920
W1 0.000 0.000 0.519
Cl2 0.500 0.500 0.335

Volume: 19.41 Å³/atom
Total magnetic moment: 0.0 μB per formula unit
Total DFT energy (no corrections): -5.16 eV/atom
Formation energy (no corrections): -1.49 kcal/mol of atoms
Energy above the most stable polymorph in this dataset: 339 meV/atom